# 1
First-principles (GGA-PBE) data for a relaxed structure of GdYPO, as listed in OQMD.

abc: 4.1775 7.5343 5.7334
angles: 90.00 90.00 90.00
Element x y z (fractional)
Gd 0.0000 0.2015 0.4383
Y 0.5000 0.3779 0.9958
Y 0.5000 0.6221 0.4958
Gd 0.0000 0.7985 0.9383
P 0.0000 0.8369 0.4340
O 0.5000 0.3294 0.3859
O 0.5000 0.6706 0.8859
P 0.0000 0.1631 0.9340

Magnetic moment: 0.002 μB/atom
Polymorph energy (0 for the lowest one): 0 meV/atom
Space-group type: Pmc2_1 (26)
Energy: -59.09 eV/cell

# 2
First-principles (GGA-PBE) data for a relaxed structure of KLaPdS4, as listed in OQMD.

abc: 7.3926 5.5796 9.1014
angles: 90.00 102.85 90.00
Element x y z (fractional)
Pd 0.6998 0.4503 0.7916
S 0.4915 0.8503 0.7824
K 0.2208 0.5216 0.4513
La 0.2376 0.5412 0.9472
S 0.4302 0.2282 0.7543
S 0.5085 0.3503 0.2176
Pd 0.3002 0.9503 0.2084
La 0.7623 0.0412 0.0528
S 0.8767 0.5345 0.0290
S 0.5698 0.7282 0.2457
S 0.9484 0.5348 0.6860
S 0.1233 0.0345 0.9710
S 0.0516 0.0348 0.3140
K 0.7792 0.0216 0.5487

Magnetic moment: 0.000 μB/atom
Space-group type: P2_1 (4)
Energy: -69.49 eV/cell

# 3
First-principles (GGA-PBE) data for a relaxed structure of BeCuAsPd, as listed in OQMD.

abc: 4.2253 4.2253 4.2253
angles: 60.00 60.00 60.00
Element x y z (fractional)
Cu 0.7500 0.7500 0.7500
Be 0.5000 0.5000 0.5000
Pd 0.2500 0.2500 0.2500
As 0.0000 0.0000 0.0000

Polymorph energy (0 for the lowest one): 0 meV/atom
Space-group type: F-43m (216)
Energy: -17.29 eV/cell